Entry from Alexandria: crystalline ZrGaOs at its relaxed geometry (PBE-GGA).

Lattice parameters (Å, degrees): 3.8242 9.8741 5.4956 90.00 90.00 90.00
Last column: nearest neighbours and their distance in Å.
Atoms (fractional coordinates):
Os1 0.0000 0.5000 0.0000  4 Ga 2.58, 2 Os 2.75
Os2 0.5000 0.0000 0.5000  4 Ga 2.58, 2 Os 2.75
Os3 0.5000 0.0000 0.0000  4 Ga 2.58, 2 Os 2.75
Zr1 0.5000 0.6859 0.7500  5 Ga 2.79-2.90, 4 Os 2.99
Ga1 0.5000 0.6078 0.2500  4 Os 2.58, 4 Zr 2.79-2.85
Ga2 0.0000 0.1078 0.2500  4 Os 2.58, 4 Zr 2.79-2.85
Os4 0.0000 0.5000 0.5000  4 Ga 2.58, 2 Os 2.75
Zr2 0.0000 0.1859 0.7500  5 Ga 2.79-2.90, 4 Os 2.99
Zr3 0.5000 0.3141 0.2500  5 Ga 2.79-2.90, 4 Os 2.99
Zr4 0.0000 0.8141 0.2500  5 Ga 2.79-2.90, 4 Os 2.99
Ga3 0.0000 0.8922 0.7500  4 Os 2.58, 4 Zr 2.79-2.85
Ga4 0.5000 0.3922 0.7500  4 Os 2.58, 4 Zr 2.79-2.85

Output
* total magnetic moment: 0.0000 μB per atom
* uncorrected energy: -96.02 eV per cell
* formation energy: -0.400 eV per atom
* SG: Cmcm (63)